1.
KCdGa2Si: optimized geometry, GGA-PBE.

The structure belongs to space group P4/mmm (No. 123); the cell edges are 5.702, 5.702 and 5.700 Å and the angles 90.00°, 90.00° and 90.00°. Symmetry generates all atoms from K at (0.000, 0.000, 0.000), Cd at (0.500, 0.500, 0.500), Ga at (0.000, 0.500, 0.000) and Si at (0.000, 0.000, 0.500).

The raw formation energy comes out at 6.5 eV/f.u. As for the energy relative to the lowest polymorph listed for this composition: 2.78 eV/f.u.

2.
Y4GaTe2P: optimized geometry, GGA-PBE.

The structure belongs to space group P2/m (No. 10); the cell edges are 7.333, 4.133 and 7.497 Å and the angles 90.00°, 108.34° and 90.00°. Symmetry generates all atoms from Y at (0.236, 0.000, 0.214), Y at (0.255, 0.500, 0.775), Ga at (0.500, 0.000, 0.000), Te at (0.000, 0.000, 0.500), Te at (0.500, 0.500, 0.500) and P at (0.000, 0.500, 0.000).

The raw formation energy comes out at -10.1 eV/f.u.

3.
SrMgTl2: optimized geometry, GGA-PBE.

The structure belongs to space group R3m (No. 160, hexagonal axes); the cell edges are 4.9572, 4.9572 and 18.1985 Å and the angles 90.00°, 90.00° and 120.00°. Symmetry generates all atoms from Sr at (0.0000, 0.0000, 0.0000), Mg at (0.0000, 0.0000, 0.1958), Tl at (0.0000, 0.0000, 0.5558) and Tl at (0.0000, 0.0000, 0.7819).

For the formation enthalpy at 0 K, the calculation gives -189 meV per atom. As for the energy relative to the lowest polymorph listed for this composition: 0.35 eV/f.u.

4.
Pm8CoC3I4: optimized geometry, GGA-PBE.

The structure belongs to space group R-3m (No. 166, hexagonal axes); the cell edges are 7.8630, 7.8630 and 23.2514 Å and the angles 90.00°, 90.00° and 120.00°. Symmetry generates all atoms from Pm at (0.0000, 0.0000, 0.2243), Pm at (0.0120, 0.5060, 0.7752), Co at (0.0000, 0.0000, 0.5000), C at (0.0000, 0.5000, 0.5000), I at (0.0000, 0.0000, 0.0000) and I at (0.0000, 0.5000, 0.0000).

The raw formation energy comes out at -10.0 eV/f.u.

What is the formula in the first record? KCdGa2Si